## BaCrPbO2 (GGA+U)

Data for BaCrPbO2 after structural relaxation.

```
BaCrPbO2
1.0
4.756 0.000 0.000
0.000 4.756 0.000
0.000 0.000 5.172
Ba Cr Pb O
1 1 1 2
direct
0.000 0.000 0.000
0.500 0.500 0.000
0.500 0.500 0.500
0.000 0.500 0.500
0.500 0.000 0.500
```

Results
volume	23.4	A^3/atom
electronic total energy	-4.9629	eV/atom